[1]
Crystalline KRh3N at its relaxed geometry, computed with PBE.

Lattice parameters (Å, degrees): 4.8523 4.8523 4.8523 90.00 90.00 90.00
Fractional coordinates of all 5 atoms:
K  0.0000  0.0000  0.0000
Rh  0.0000  0.0000  0.5000
Rh  0.0000  0.5000  0.0000
Rh  0.5000  0.0000  0.0000
N  0.5000  0.5000  0.5000

Properties
Uncorrected formation energy: 3.31 eV per atom
Calculated density: 5.26 g/cm3


[2]
Crystalline Ce4CuAu3 at its relaxed geometry, computed with PBE.

Lattice parameters (Å, degrees): 3.8449 4.6552 11.3713 90.00 90.00 90.00
Fractional coordinates of all 8 atoms:
Ce  0.0000  0.0000  0.0000
Ce  0.0000  0.5000  0.2759
Ce  0.5000  0.0000  0.4887
Ce  0.5000  0.5000  0.7779
Cu  0.5000  0.0000  0.2129
Au  0.0000  0.0000  0.7210
Au  0.0000  0.5000  0.5514
Au  0.5000  0.5000  0.0609

Properties
Formation energy: -0.4722 eV per atom
Calculated density: 9.91 g/cm3


[3]
Crystalline Al2CdHg2 at its relaxed geometry, computed with PBE.

Lattice parameters (Å, degrees): 6.9183 6.9183 6.9183 143.77 143.77 52.17
Fractional coordinates of all 5 atoms:
Al  0.1026  0.1026  0.0000
Al  0.8974  0.8974  0.0000
Cd  0.5000  0.5000  0.0000
Hg  0.2500  0.7500  0.5000
Hg  0.7500  0.2500  0.5000

Properties
Formation energy: 0.2222 eV per atom
Calculated density: 8.20 g/cm3


[4]
Crystalline SnW3C at its relaxed geometry, computed with PBE.

Lattice parameters (Å, degrees): 4.9019 4.9019 4.9019 90.00 90.00 90.00
Fractional coordinates of all 5 atoms:
Sn  0.0000  0.0000  0.0000
W  0.0000  0.0000  0.5000
W  0.0000  0.5000  0.0000
W  0.5000  0.0000  0.0000
C  0.5000  0.5000  0.5000

Properties
Formation energy: 4.1763 eV per atom
Calculated density: 9.62 g/cm3


[5]
Crystalline NdEr7Hg4 at its relaxed geometry, computed with PBE.

Lattice parameters (Å, degrees): 7.8062 7.8062 9.6677 119.78 119.78 42.54
Fractional coordinates of all 12 atoms:
Nd  0.0000  0.0000  0.0000
Er  0.0669  0.0669  0.4065
Er  0.2076  0.2076  0.8828
Er  0.2693  0.2693  0.3180
Er  0.5000  0.5000  0.0000
Er  0.7307  0.7307  0.6820
Er  0.7924  0.7924  0.1172
Er  0.9331  0.9331  0.5935
Hg  0.3106  0.3106  0.6628
Hg  0.4535  0.4535  0.2743
Hg  0.5465  0.5465  0.7257
Hg  0.6894  0.6894  0.3372

Properties
Formation energy: -0.0964 eV per atom
Calculated density: 10.43 g/cm3


[6]
Crystalline Sm2B2Ru at its relaxed geometry, computed with PBE.

Lattice parameters (Å, degrees): 5.3946 5.3946 7.3335 96.66 96.66 56.48
Fractional coordinates of all 10 atoms:
Sm  0.0769  0.2363  0.1439
Sm  0.2363  0.0769  0.6439
Sm  0.7637  0.9231  0.3561
Sm  0.9231  0.7637  0.8561
B  0.3334  0.5131  0.5149
B  0.4869  0.6666  0.9851
B  0.5131  0.3334  0.0149
B  0.6666  0.4869  0.4851
Ru  0.3749  0.6251  0.2500
Ru  0.6251  0.3749  0.7500

Properties
Formation energy: -0.3200 eV per atom
Calculated density: 7.97 g/cm3


[7]
Crystalline Zr2Be16V at its relaxed geometry, computed with PBE.

Lattice parameters (Å, degrees): 5.7550 5.7550 5.7550 84.00 84.00 84.00
Fractional coordinates of all 19 atoms:
Zr  0.0000  0.0000  0.0000
Zr  0.3146  0.3146  0.3146
Be  0.0069  0.0069  0.5055
Be  0.0069  0.5055  0.0069
Be  0.1646  0.6601  0.6601
Be  0.3199  0.3199  0.8210
Be  0.3199  0.8210  0.3199
Be  0.3712  0.6610  0.9570
Be  0.3712  0.9570  0.6610
Be  0.5055  0.0069  0.0069
Be  0.5479  0.5479  0.5479
Be  0.6601  0.1646  0.6601
Be  0.6601  0.6601  0.1646
Be  0.6610  0.3712  0.9570
Be  0.6610  0.9570  0.3712
Be  0.8210  0.3199  0.3199
Be  0.9570  0.3712  0.6610
Be  0.9570  0.6610  0.3712
V  0.7529  0.7529  0.7529

Properties
Formation energy: -0.1539 eV per atom
Calculated density: 3.34 g/cm3


[8]
Crystalline IrAuS2Cl at its relaxed geometry, computed with PBE.

Lattice parameters (Å, degrees): 4.6110 4.6110 4.9350 90.00 90.00 90.00
Fractional coordinates of all 5 atoms:
Ir  0.0000  0.0000  0.0000
Au  0.5000  0.5000  0.5000
S  0.0000  0.5000  0.0000
S  0.5000  0.0000  0.0000
Cl  0.0000  0.0000  0.5000

Properties
Uncorrected formation energy: 0.58 eV per atom
Calculated density: 7.74 g/cm3


[9]
Crystalline AcNpAs2 at its relaxed geometry, computed with PBE.

Lattice parameters (Å, degrees): 7.9601 7.9601 7.9601 30.69 30.69 30.69
Fractional coordinates of all 4 atoms:
Ac  0.0000  0.0000  0.0000
Np  0.1714  0.1714  0.1714
As  0.4269  0.4269  0.4269
As  0.5805  0.5805  0.5805

Properties
Formation energy: -0.8542 eV per atom
Calculated density: 8.75 g/cm3


[10]
Crystalline Ni2MoPt2 at its relaxed geometry, computed with PBE.

Lattice parameters (Å, degrees): 4.5914 4.5914 6.0009 128.91 128.91 48.64
Fractional coordinates of all 5 atoms:
Ni  0.1090  0.1090  0.3134
Ni  0.8910  0.8910  0.6866
Mo  0.5000  0.5000  0.5000
Pt  0.2947  0.2947  0.8864
Pt  0.7053  0.7053  0.1136

Properties
Formation energy: -0.2235 eV per atom
Calculated density: 14.57 g/cm3


[11]
Crystalline TmSn6Rh at its relaxed geometry, computed with PBE.

Lattice parameters (Å, degrees): 6.3194 6.3194 6.4324 101.45 101.45 120.26
Fractional coordinates of all 8 atoms:
Tm  0.0000  0.0000  0.0000
Sn  0.1189  0.6734  0.2513
Sn  0.3266  0.8811  0.7487
Sn  0.4528  0.4528  0.7228
Sn  0.5472  0.5472  0.2772
Sn  0.6734  0.1189  0.2513
Sn  0.8811  0.3266  0.7487
Rh  0.0000  0.0000  0.5000

Properties
Formation energy: -0.1947 eV per atom
Calculated density: 8.03 g/cm3


[12]
Crystalline La3Sm6Dy2Er at its relaxed geometry, computed with PBE.

Lattice parameters (Å, degrees): 6.2984 6.2984 12.0609 95.01 95.01 120.04
Fractional coordinates of all 12 atoms:
La  0.0000  0.0000  0.0000
La  0.3333  0.6667  0.0000
La  0.6667  0.3333  0.0000
Sm  0.0858  0.4189  0.2564
Sm  0.2481  0.2481  0.7437
Sm  0.4189  0.0858  0.2564
Sm  0.5811  0.9142  0.7436
Sm  0.7519  0.7519  0.2563
Sm  0.9142  0.5811  0.7436
Dy  0.1666  0.8334  0.5000
Dy  0.8334  0.1666  0.5000
Er  0.5000  0.5000  0.5000

Properties
Formation energy: 0.0217 eV per atom
Calculated density: 7.37 g/cm3


[13]
Crystalline Sc2SnMo at its relaxed geometry, computed with PBE.

Lattice parameters (Å, degrees): 10.2531 10.2531 10.2531 18.36 18.36 18.36
Fractional coordinates of all 4 atoms:
Sc  0.1008  0.1008  0.1008
Sc  0.8992  0.8992  0.8992
Sn  0.0000  0.0000  0.0000
Mo  0.5000  0.5000  0.5000

Properties
Formation energy: 0.2282 eV per atom
Calculated density: 5.42 g/cm3


[14]
Crystalline Th2CuIr at its relaxed geometry, computed with PBE.

Lattice parameters (Å, degrees): 5.0366 5.0366 3.6073 90.00 90.00 90.00
Fractional coordinates of all 4 atoms:
Th  0.0000  0.5000  0.0000
Th  0.5000  0.0000  0.0000
Cu  0.0000  0.0000  0.5000
Ir  0.5000  0.5000  0.5000

Properties
Formation energy: -0.4273 eV per atom
Calculated density: 13.06 g/cm3


[15]
Crystalline V2GeTe2 at its relaxed geometry, computed with PBE.

Lattice parameters (Å, degrees): 7.8828 7.8828 3.3907 90.00 90.00 90.00
Fractional coordinates of all 10 atoms:
V  0.1394  0.3606  0.0000
V  0.3606  0.8606  0.0000
V  0.6394  0.1394  0.0000
V  0.8606  0.6394  0.0000
Ge  0.0000  0.0000  0.5000
Ge  0.5000  0.5000  0.5000
Te  0.1529  0.6529  0.5000
Te  0.3471  0.1529  0.5000
Te  0.6529  0.8471  0.5000
Te  0.8471  0.3471  0.5000

Properties
Uncorrected formation energy: 0.33 eV per atom
Calculated density: 6.77 g/cm3


[16]
Crystalline PrHfSb2O at its relaxed geometry, computed with PBE.

Lattice parameters (Å, degrees): 3.9591 3.9591 15.1727 90.00 90.00 90.00
Fractional coordinates of all 10 atoms:
Pr  0.2500  0.2500  0.0821
Pr  0.7500  0.7500  0.9179
Hf  0.2500  0.2500  0.5703
Hf  0.7500  0.7500  0.4297
Sb  0.2500  0.2500  0.3727
Sb  0.2500  0.2500  0.7694
Sb  0.7500  0.7500  0.2306
Sb  0.7500  0.7500  0.6273
O  0.2500  0.7500  0.0000
O  0.7500  0.2500  0.0000

Properties
Uncorrected formation energy: -1.41 eV per atom
Calculated density: 8.08 g/cm3


[17]
Crystalline ZnAgTe at its relaxed geometry, computed with PBE.

Lattice parameters (Å, degrees): 3.5279 3.5279 6.1387 90.00 90.00 120.00
Fractional coordinates of all 3 atoms:
Zn  0.0000  0.0000  0.0000
Ag  0.6667  0.3333  0.2912
Te  0.3333  0.6667  0.6600

Properties
Uncorrected formation energy: 0.14 eV per atom
Calculated density: 7.55 g/cm3


[18]
Crystalline Ac2Cu5Pt4 at its relaxed geometry, computed with PBE.

Lattice parameters (Å, degrees): 9.5854 8.7468 5.4440 81.39 64.45 34.16
Fractional coordinates of all 11 atoms:
Ac  0.1393  0.1393  0.8607
Ac  0.8607  0.8607  0.1393
Cu  0.0000  0.0000  0.5000
Cu  0.2500  0.2500  0.2500
Cu  0.5000  0.5000  0.0000
Cu  0.5000  0.5000  0.5000
Cu  0.7500  0.7500  0.7500
Pt  0.2096  0.5388  0.4612
Pt  0.4612  0.7904  0.2096
Pt  0.5388  0.2096  0.7904
Pt  0.7904  0.4612  0.5388

Properties
Formation energy: -0.4907 eV per atom
Calculated density: 12.21 g/cm3


[19]
Crystalline Tb9DyAl2 at its relaxed geometry, computed with PBE.

Lattice parameters (Å, degrees): 4.8270 4.8270 14.7918 90.00 90.00 90.00
Fractional coordinates of all 12 atoms:
Tb  0.0000  0.0000  0.0000
Tb  0.0000  0.0000  0.3395
Tb  0.0000  0.0000  0.6605
Tb  0.0000  0.5000  0.1770
Tb  0.0000  0.5000  0.5000
Tb  0.0000  0.5000  0.8230
Tb  0.5000  0.0000  0.1770
Tb  0.5000  0.0000  0.5000
Tb  0.5000  0.0000  0.8230
Dy  0.5000  0.5000  0.0000
Al  0.5000  0.5000  0.3405
Al  0.5000  0.5000  0.6595

Properties
Formation energy: -0.1053 eV per atom
Calculated density: 7.93 g/cm3


[20]
Crystalline LiPu2Rh at its relaxed geometry, computed with PBE.

Lattice parameters (Å, degrees): 3.5117 3.5117 4.9767 90.00 90.00 90.00
Fractional coordinates of all 4 atoms:
Li  0.0000  0.0000  0.0000
Pu  0.0000  0.5000  0.5000
Pu  0.5000  0.0000  0.5000
Rh  0.5000  0.5000  0.0000

Properties
Formation energy: 0.3484 eV per atom
Calculated density: 16.18 g/cm3


[21]
Crystalline Pr3Mg2Zn9 at its relaxed geometry, computed with PBE.

Lattice parameters (Å, degrees): 8.5514 8.5514 8.5514 149.05 116.72 72.10
Fractional coordinates of all 14 atoms:
Pr  0.0000  0.0000  0.0000
Pr  0.2898  0.2898  0.0000
Pr  0.7102  0.7102  0.0000
Mg  0.3153  0.5000  0.8153
Mg  0.6847  0.5000  0.1847
Zn  0.0208  0.6617  0.3591
Zn  0.1416  0.8602  0.2814
Zn  0.3026  0.6617  0.6409
Zn  0.4212  0.1398  0.2814
Zn  0.5000  0.0000  0.5000
Zn  0.5788  0.8602  0.7186
Zn  0.6974  0.3383  0.3591
Zn  0.8584  0.1398  0.7186
Zn  0.9792  0.3383  0.6409

Properties
Formation energy: -0.3125 eV per atom
Calculated density: 6.22 g/cm3